Entry i
Ni2SnHPt | PBE | relaxed Values from VASP.

Cell and atoms, written as Quantum ESPRESSO input:
```
&SYSTEM
  ibrav = 0, nat = 5, ntyp = 4
/
ATOMIC_SPECIES
Ni 58.69 Ni.upf
Sn 118.71 Sn.upf
H 1.01 H.upf
Pt 195.08 Pt.upf
CELL_PARAMETERS angstrom
3.794 0.000 0.000
0.000 3.794 0.000
0.000 0.000 4.230
ATOMIC_POSITIONS crystal
Ni 0.000 0.500 0.000
Ni 0.500 0.000 0.000
Sn 0.000 0.000 0.500
H 0.000 0.000 0.000
Pt 0.500 0.500 0.500
```

***

Entry ii
Ni2SnHPt | PBE | relaxed Values from VASP.

Cell and atoms, written as Quantum ESPRESSO input:
```
&SYSTEM
  ibrav = 0, nat = 5, ntyp = 4
/
ATOMIC_SPECIES
Ni 58.69 Ni.upf
Sn 118.71 Sn.upf
H 1.01 H.upf
Pt 195.08 Pt.upf
CELL_PARAMETERS angstrom
3.958 0.000 0.000
0.000 3.958 0.000
0.000 0.000 3.826
ATOMIC_POSITIONS crystal
Ni 0.000 0.500 0.000
Ni 0.500 0.000 0.000
Sn 0.000 0.000 0.500
H 0.500 0.500 0.000
Pt 0.500 0.500 0.500
```

***

Stability, descending: entry ii, entry i

***

Entry i
NiTeHPt2 | PBE | relaxed Values from VASP.

Cell and atoms, written as Quantum ESPRESSO input:
```
&SYSTEM
  ibrav = 0, nat = 5, ntyp = 4
/
ATOMIC_SPECIES
Ni 58.69 Ni.upf
Te 127.60 Te.upf
H 1.01 H.upf
Pt 195.08 Pt.upf
CELL_PARAMETERS angstrom
4.005 0.000 0.000
0.000 4.005 0.000
0.000 0.000 4.323
ATOMIC_POSITIONS crystal
Ni 0.000 0.000 0.000
Te 0.500 0.500 0.000
H 0.000 0.000 0.500
Pt 0.000 0.500 0.500
Pt 0.500 0.000 0.500
```

***

Entry ii
NiTeHPt2 | PBE | relaxed Values from VASP.

Cell and atoms, written as Quantum ESPRESSO input:
```
&SYSTEM
  ibrav = 0, nat = 5, ntyp = 4
/
ATOMIC_SPECIES
Ni 58.69 Ni.upf
Te 127.60 Te.upf
H 1.01 H.upf
Pt 195.08 Pt.upf
CELL_PARAMETERS angstrom
5.016 0.000 0.000
0.000 5.016 0.000
0.000 0.000 4.774
ATOMIC_POSITIONS crystal
Ni 0.000 0.000 0.000
Te 0.000 0.000 0.500
H 0.500 0.500 0.000
Pt 0.000 0.500 0.500
Pt 0.500 0.000 0.500
```

***

Stability, descending: entry i, entry ii

***

Entry i
ZnNiHPt2 | PBE | relaxed Values from VASP.

Cell and atoms, written as Quantum ESPRESSO input:
```
&SYSTEM
  ibrav = 0, nat = 5, ntyp = 4
/
ATOMIC_SPECIES
Zn 65.41 Zn.upf
Ni 58.69 Ni.upf
H 1.01 H.upf
Pt 195.08 Pt.upf
CELL_PARAMETERS angstrom
3.904 0.000 0.000
0.000 3.904 0.000
0.000 0.000 3.931
ATOMIC_POSITIONS crystal
Zn 0.000 0.000 0.000
Ni 0.500 0.500 0.000
H 0.000 0.000 0.500
Pt 0.000 0.500 0.500
Pt 0.500 0.000 0.500
```

***

Entry ii
ZnNiHPt2 | PBE | relaxed Values from VASP.

Cell and atoms, written as Quantum ESPRESSO input:
```
&SYSTEM
  ibrav = 0, nat = 5, ntyp = 4
/
ATOMIC_SPECIES
Zn 65.41 Zn.upf
Ni 58.69 Ni.upf
H 1.01 H.upf
Pt 195.08 Pt.upf
CELL_PARAMETERS angstrom
4.000 0.000 0.000
0.000 4.000 0.000
0.000 0.000 3.686
ATOMIC_POSITIONS crystal
Zn 0.000 0.000 0.000
Ni 0.500 0.500 0.000
H 0.500 0.500 0.500
Pt 0.000 0.500 0.500
Pt 0.500 0.000 0.500
```

***

Stability, descending: entry ii, entry i